Record 1
{"formula": "CeTm4Pd5", "functional": "PBE", "state": "relaxed", "lattice": [[-2.792, 0.955, -1.766], [-0.434, -3.241, -1.066], [-10.183, -3.336, 14.290]], "species": ["Ce", "Tm", "Tm", "Tm", "Tm", "Pd", "Pd", "Pd", "Pd", "Pd"], "fractional_positions": [[0.000, 0.000, 0.000], [0.000, 0.000, 0.205], [0.000, 0.000, 0.402], [0.000, 0.000, 0.598], [0.000, 0.000, 0.795], [0.500, 0.500, 0.113], [0.500, 0.500, 0.304], [0.500, 0.500, 0.500], [0.500, 0.500, 0.696], [0.500, 0.500, 0.887]], "final_energy_ev_per_atom": -5.8511, "crystal_system": "tetragonal", "dos_at_fermi_per_ev_atom": 1.174}

=====

Record 2
{"formula": "Ce3TmPd12", "functional": "PBE", "state": "relaxed", "lattice": [[4.141, 0.000, 0.000], [0.000, 4.141, 0.000], [0.000, 0.000, 16.539]], "species": ["Ce", "Ce", "Ce", "Tm", "Pd", "Pd", "Pd", "Pd", "Pd", "Pd", "Pd", "Pd", "Pd", "Pd", "Pd", "Pd"], "fractional_positions": [[0.000, 0.000, 0.246], [0.000, 0.000, 0.500], [0.000, 0.000, 0.754], [0.000, 0.000, 0.000], [0.500, 0.500, 0.000], [0.500, 0.500, 0.249], [0.500, 0.500, 0.500], [0.500, 0.500, 0.751], [0.500, 0.000, 0.124], [0.500, 0.000, 0.374], [0.500, 0.000, 0.626], [0.500, 0.000, 0.876], [0.000, 0.500, 0.124], [0.000, 0.500, 0.374], [0.000, 0.500, 0.626], [0.000, 0.500, 0.876]], "final_energy_ev_per_atom": -6.1458, "crystal_system": "tetragonal", "dos_at_fermi_per_ev_atom": 0.777}

=====

Record 3
{"formula": "CeUPd4", "functional": "PBE", "state": "relaxed", "lattice": [[-2.836, -4.646, -0.378], [2.229, -4.371, -2.388], [1.428, -4.321, 3.009]], "species": ["U", "Pd", "Pd", "Pd", "Pd", "Ce"], "fractional_positions": [[0.250, 0.250, 0.250], [0.625, 0.625, 0.126], [0.625, 0.126, 0.625], [0.625, 0.625, 0.625], [0.126, 0.625, 0.625], [0.000, 0.000, 0.000]], "final_energy_ev_per_atom": -6.8273, "crystal_system": "cubic", "dos_at_fermi_per_ev_atom": 1.799}

=====

Record 4
{"formula": "CeUPd14", "functional": "PBE", "state": "relaxed", "lattice": [[-4.616, -3.406, -1.029], [3.518, -4.620, -0.490], [-0.708, -1.349, 7.640]], "species": ["Ce", "U", "Pd", "Pd", "Pd", "Pd", "Pd", "Pd", "Pd", "Pd", "Pd", "Pd", "Pd", "Pd", "Pd", "Pd"], "fractional_positions": [[0.375, 0.375, 0.500], [0.875, 0.875, 0.500], [0.875, 0.875, 0.000], [0.375, 0.375, 0.000], [0.875, 0.375, 0.500], [0.875, 0.375, 0.000], [0.375, 0.875, 0.500], [0.375, 0.875, 0.000], [0.629, 0.121, 0.248], [0.629, 0.121, 0.752], [0.121, 0.629, 0.248], [0.121, 0.629, 0.752], [0.629, 0.629, 0.248], [0.629, 0.629, 0.752], [0.121, 0.121, 0.248], [0.121, 0.121, 0.752]], "final_energy_ev_per_atom": -6.0045, "crystal_system": "tetragonal", "dos_at_fermi_per_ev_atom": 1.003}